Computed, not measured: a geometry-optimized EuTlCdSb structure at the PBE level of DFT.

- Magnetic moment: 7.04 μB per formula unit
- Raw total energy: -4.77 eV per atom
- Formation energy without anion corrections: -347 meV per atom
- Crystal system: cubic
- SG: F-43m (216)

Cell: 7.859 7.859 7.859 Å, 90.00 90.00 90.00°
Sites, in units of the cell vectors:
1 Eu 0.000 0.000 0.000
2 Eu 0.000 0.500 0.500
3 Eu 0.500 0.000 0.500
4 Eu 0.500 0.500 0.000
5 Tl 0.000 0.000 0.500
6 Tl 0.000 0.500 0.000
7 Tl 0.500 0.000 0.000
8 Tl 0.500 0.500 0.500
9 Cd 0.250 0.250 0.250
10 Cd 0.250 0.750 0.750
11 Cd 0.750 0.250 0.750
12 Cd 0.750 0.750 0.250
13 Sb 0.250 0.250 0.750
14 Sb 0.250 0.750 0.250
15 Sb 0.750 0.250 0.250
16 Sb 0.750 0.750 0.750